[1]
# Na2FeHgN

Na2FeHgN after structural relaxation (GGA-PBE, Alexandria via LeMat-Bulk).

Cell: 5.1732 5.1732 3.5466 Å, 90.00 90.00 90.00°
With the nearest neighbours (Å) after each atom.
Space group P4/mmm (No. 123)
Asymmetric unit:
Na1 0.0000 0.5000 0.0000  2 N 2.59
Fe1 0.0000 0.0000 0.5000  2 N 1.77
Hg1 0.5000 0.5000 0.5000  8 Na 3.14
N1 0.0000 0.0000 0.0000  2 Fe 1.77

Output
- Total energy: -3.94 eV per atom
- Spin magnetization: 1.8 μB/cell
- Crystal system: tetragonal
- ΔE_f (raw): 0.00 eV/f.u.


[2]
# LaDy7Ho3

LaDy7Ho3 after structural relaxation (GGA-PBE, Alexandria via LeMat-Bulk).

Cell: 7.0600 7.0600 8.6140 Å, 90.00 90.00 120.00°
With the nearest neighbours (Å) after each atom.
Space group P3m1 (No. 156)
Asymmetric unit:
La1 0.0000 0.0000 0.0000  9 Dy 3.49-3.53, 3 Ho 3.58
Dy1 0.0025 0.5013 0.9961  7 Dy 3.49-3.56, 2 La 3.53, 2 Ho 3.53
Dy2 0.3313 0.1656 0.3304  1 La 3.49, 2 Ho 3.49, 8 Dy 3.51-3.55
Dy3 0.3333 0.6667 0.3269  9 Dy 3.49-3.53, 3 Ho 3.51
Ho1 0.1676 0.3352 0.6599  5 Dy 3.49-3.53, 4 Ho 3.51-3.55, 1 La 3.58

Output
- Total energy: -4.42 eV per atom
- Spin magnetization: 0.0 μB/cell
- Crystal system: trigonal
- ΔH_f (0 K): 0.201 eV per atom
- E above lowest polymorph: 62 kJ/mol of formula units


[3]
# NpTaPd

NpTaPd after structural relaxation (GGA-PBE, Alexandria via LeMat-Bulk).

Cell: 4.6585 13.2971 3.4865 Å, 90.00 90.00 90.00°
With the nearest neighbours (Å) after each atom.
Space group Cmcm (No. 63)
Asymmetric unit:
Np1 0.0000 0.0638 0.2500  2 Np 2.43
Ta1 0.0000 0.4082 0.2500  2 Pd 2.76, 4 Np 2.93, 2 Ta 3.00
Pd1 0.0000 0.2472 0.7500  2 Ta 2.76, 4 Pd 2.91, 2 Np 3.00

Output
- Total energy: -10.02 eV per atom
- Spin magnetization: 0.0 μB/cell
- Crystal system: orthorhombic
- ΔH_f (0 K): -0.024 eV per atom


[4]
# Th2CoSi

Th2CoSi after structural relaxation (GGA-PBE, Alexandria via LeMat-Bulk).

Cell: 5.9477 3.8773 8.2784 Å, 90.00 109.91 90.00°
With the nearest neighbours (Å) after each atom.
Space group P2_1/m (No. 11)
Asymmetric unit:
Th1 0.2078 0.2500 0.4058  3 Co 2.89-3.21, 4 Si 3.05-3.18
Th2 0.2190 0.2500 0.9485  3 Co 2.88-3.12, 3 Si 3.07
Co1 0.3861 0.7500 0.2203  2 Si 2.41
Si1 0.3591 0.7500 0.7114  2 Co 2.41

Output
- Total energy: -7.37 eV per atom
- Spin magnetization: 0.0 μB/cell
- Crystal system: monoclinic
- ΔE_f (raw): -2.11 eV/f.u.
- E above lowest polymorph: 0 kJ/mol of formula units


[5]
# ScPt2Cl

ScPt2Cl after structural relaxation (GGA-PBE, Alexandria via LeMat-Bulk).

Cell: 6.5695 6.5695 6.5695 Å, 90.00 90.00 90.00°
With the nearest neighbours (Å) after each atom.
Space group Fm-3m (No. 225)
Asymmetric unit:
Sc1 0.0000 0.0000 0.0000  8 Pt 2.84
Pt1 0.2500 0.2500 0.2500  4 Cl 2.84, 4 Sc 2.84
Cl1 0.0000 0.0000 0.5000  8 Pt 2.84

Output
- Total energy: -5.33 eV per atom
- Spin magnetization: 0.0 μB/cell
- Crystal system: cubic
- ΔE_f (raw): -1.04 eV/f.u.
- E above lowest polymorph: 220 kJ/mol of formula units


[6]
# PPt3

PPt3 after structural relaxation (GGA-PBE, Alexandria via LeMat-Bulk).

Cell: 3.3614 3.3614 6.6790 Å, 90.00 90.00 120.00°
With the nearest neighbours (Å) after each atom.
Space group P-6m2 (No. 187)
Asymmetric unit:
P1 0.0000 0.0000 0.0000  6 Pt 2.39
Pt1 0.0000 0.0000 0.5000  6 Pt 2.75
Pt2 0.6667 0.3333 0.2081  3 P 2.39

Output
- Total energy: -6.01 eV per atom
- Spin magnetization: 0.0 μB/cell
- Crystal system: hexagonal
- ΔH_f (0 K): -0.130 eV per atom
- E above lowest polymorph: 46 kJ/mol of formula units